# 1
DFT (PBE) results for a geometry-optimized Ti2AlH structure.

space-group type = C2/m
electronic total energy = -23.96 eV for the cell shown
energy above the most stable polymorph in this dataset = 0.0000 eV per atom
V = 13.0 A^3/atom

Geometry as POSCAR:
```
Ti2AlH
1.0
2.897 0.000 0.000
-1.448 2.531 -0.256
0.000 -0.969 7.167
Ti Al H
2 1 1
Direct
0.219 0.438 0.175
0.781 0.562 0.825
0.000 0.000 0.500
0.500 0.000 0.000
```

***

# 2
DFT (PBE) results for a geometry-optimized V3SbH3 structure.

space-group type = Pm-3n
electronic total energy = -84.92 eV for the cell shown
V = 9.8 A^3/atom

Geometry as POSCAR:
```
V3SbH3
1.0
5.151 0.000 0.000
0.000 5.151 0.000
0.000 0.000 5.151
Sb H V
2 6 6
Direct
0.500 0.500 0.500
0.000 0.000 0.000
0.250 0.000 0.500
0.000 0.500 0.250
0.500 0.750 0.000
0.750 0.000 0.500
0.000 0.500 0.750
0.500 0.250 0.000
0.000 0.250 0.500
0.000 0.750 0.500
0.500 0.000 0.750
0.750 0.500 0.000
0.500 0.000 0.250
0.250 0.500 0.000
```

***

# 3
DFT (PBE) results for a geometry-optimized HoThTc4 structure.

space-group type = F-43m
E_form = -0.095 eV per atom
electronic total energy = -54.03 eV for the cell shown
V = 19.1 A^3/atom

Geometry as POSCAR:
```
HoThTc4
1.0
5.454 0.000 0.000
2.727 4.724 0.000
2.727 1.575 4.454
Ho Th Tc
1 1 4
Direct
0.000 0.000 0.000
0.250 0.250 0.250
0.625 0.625 0.124
0.625 0.124 0.625
0.625 0.625 0.625
0.124 0.625 0.625
```

***

# 4
DFT (PBE) results for a geometry-optimized HfC2Cl2 structure.

space-group type = P4/mbm
formation energy (no corrections) = 1690 meV per atom
electronic total energy = -47.29 eV for the cell shown
energy above the most stable polymorph in this dataset = 0.5640 eV per atom
V = 13.8 A^3/atom

Geometry as POSCAR:
```
HfC2Cl2
1.0
6.776 0.000 0.000
0.000 6.776 0.000
0.000 0.000 2.998
C Hf Cl
4 2 4
Direct
0.211 0.711 0.500
0.711 0.789 0.500
0.789 0.289 0.500
0.289 0.211 0.500
0.000 0.000 0.000
0.500 0.500 0.000
0.366 0.866 0.000
0.866 0.634 0.000
0.634 0.134 0.000
0.134 0.366 0.000
```

***

# 5
DFT (PBE) results for a geometry-optimized FeCo structure.

space-group type = Pmm2
E_form = 0.098 eV per atom
electronic total energy = -61.49 eV for the cell shown
V = 10.9 A^3/atom

Geometry as POSCAR:
```
FeCo
1.0
2.495 0.000 0.000
0.000 4.039 0.000
0.000 0.000 8.641
Fe Co
4 4
Direct
0.000 0.000 0.541
0.500 0.000 0.790
0.000 0.500 0.210
0.000 0.500 0.708
0.000 0.000 0.042
0.500 0.000 0.290
0.500 0.500 0.958
0.500 0.500 0.460
```

***

# 6
DFT (PBE) results for a geometry-optimized Y2MgSb structure.

space-group type = P4/mmm
formation energy (no corrections) = -565 meV per atom
electronic total energy = -20.91 eV for the cell shown
energy above the most stable polymorph in this dataset = 0.0293 eV per atom
V = 26.7 A^3/atom

Geometry as POSCAR:
```
Y2MgSb
1.0
-2.743 2.264 1.795
-2.806 -2.676 -0.913
1.163 -3.203 5.817
Y Sb Mg
2 1 1
Direct
0.000 0.000 0.993
0.000 0.000 0.507
0.500 0.500 0.750
0.500 0.500 0.250
```

***

# 7
DFT (PBE) results for a geometry-optimized YNi2Rh structure.

space-group type = R-3m
E_form = 0.415 eV per atom
electronic total energy = -23.72 eV for the cell shown
V = 16.0 A^3/atom

Geometry as POSCAR:
```
YNi2Rh
1.0
-5.090 3.042 -6.430
-6.915 1.074 -5.248
-6.734 3.772 -4.114
Ni Rh Y
2 1 1
Direct
0.993 0.993 0.993
0.507 0.507 0.507
0.250 0.250 0.250
0.750 0.750 0.750
```

***

# 8
DFT (PBE) results for a geometry-optimized HoTm4Sc6 structure.

space-group type = I-42m
E_form = 0.298 eV per atom
electronic total energy = -57.17 eV for the cell shown
V = 28.2 A^3/atom

Geometry as POSCAR:
```
HoTm4Sc6
1.0
-4.542 7.010 3.579
-0.990 -8.927 -1.380
6.494 -5.940 2.264
Ho Tm Sc
1 4 6
Direct
0.000 0.000 0.000
0.000 0.011 0.631
0.379 0.369 0.369
0.000 0.631 0.011
0.621 0.989 0.989
0.000 0.792 0.445
0.000 0.445 0.792
0.653 0.208 0.208
0.500 0.000 0.500
0.347 0.555 0.555
0.500 0.500 0.000
```

***

# 9
DFT (PBE) results for a geometry-optimized Li5HoTl4 structure.

space-group type = C2/m
E_form = -0.231 eV per atom
electronic total energy = -25.92 eV for the cell shown
V = 21.8 A^3/atom

Geometry as POSCAR:
```
Li5HoTl4
1.0
-4.188 -1.561 1.818
3.213 -3.604 4.309
1.132 7.154 2.348
Li Ho Tl
5 1 4
Direct
0.284 0.165 0.568
0.104 0.363 0.208
0.896 0.637 0.792
0.500 0.500 0.000
0.716 0.835 0.432
0.500 0.000 0.000
0.702 0.330 0.405
0.097 0.817 0.195
0.298 0.670 0.595
0.903 0.183 0.805
```

***

# 10
DFT (PBE) results for a geometry-optimized Nb2CoRe2 structure.

space-group type = P4/mbm
E_form = 0.634 eV per atom
electronic total energy = -97.94 eV for the cell shown
energy above the most stable polymorph in this dataset = 0.0000 eV per atom
V = 16.9 A^3/atom

Geometry as POSCAR:
```
Nb2CoRe2
1.0
-4.732 -4.680 -3.257
3.830 0.526 -6.321
1.758 -2.381 0.867
Re Nb Co
4 4 2
Direct
0.150 0.650 0.500
0.650 0.850 0.500
0.850 0.350 0.500
0.350 0.150 0.500
0.348 0.848 0.000
0.848 0.652 0.000
0.652 0.152 0.000
0.152 0.348 0.000
0.000 0.000 0.000
0.500 0.500 0.000
```

***

# 11
DFT (PBE) results for a geometry-optimized Ni2BiTe structure.

space-group type = Fm-3m
formation energy (no corrections) = 233 meV per atom
electronic total energy = -17.65 eV for the cell shown
V = 18.7 A^3/atom

Geometry as POSCAR:
```
Ni2BiTe
1.0
0.000 3.344 3.344
3.344 0.000 3.344
3.344 3.344 0.000
Ni Te Bi
2 1 1
Direct
0.250 0.250 0.250
0.750 0.750 0.750
0.000 0.000 0.000
0.500 0.500 0.500
```

***

# 12
DFT (PBE) results for a geometry-optimized LiDyGa structure.

space-group type = P-6m2
E_form = -0.356 eV per atom
electronic total energy = -10.61 eV for the cell shown
energy above the most stable polymorph in this dataset = 0.0472 eV per atom
V = 21.0 A^3/atom

Geometry as POSCAR:
```
LiDyGa
1.0
3.326 0.000 0.000
0.000 4.679 0.000
0.000 -2.339 4.052
Li Ga Dy
1 1 1
Direct
0.167 0.667 0.333
0.167 0.000 0.000
0.666 0.333 0.667
```

***

# 13
DFT (PBE) results for a geometry-optimized Ni2SbBr structure.

space-group type = Cm
formation energy (no corrections) = -26 meV per atom
electronic total energy = -17.46 eV for the cell shown
energy above the most stable polymorph in this dataset = 0.0000 eV per atom
V = 19.9 A^3/atom

Geometry as POSCAR:
```
Ni2SbBr
1.0
6.536 -0.004 -0.003
5.461 3.593 -0.003
0.948 0.283 3.390
Br Ni Sb
1 2 1
Direct
0.201 0.201 0.929
0.996 0.996 0.127
0.832 0.832 0.791
0.471 0.471 0.653
```

***

# 14
DFT (PBE) results for a geometry-optimized LiTbNbN3 structure.

space-group type = P2_1/m
formation energy (no corrections) = -996 meV per atom
electronic total energy = -95.14 eV for the cell shown
V = 11.9 A^3/atom

Geometry as POSCAR:
```
LiTbNbN3
1.0
3.195 0.000 0.000
0.000 6.702 0.491
0.000 -2.077 6.501
Li Tb Nb N
2 2 2 6
Direct
0.250 0.078 0.587
0.750 0.922 0.413
0.750 0.798 0.772
0.250 0.202 0.228
0.250 0.673 0.186
0.750 0.327 0.814
0.250 0.783 0.480
0.750 0.870 0.133
0.750 0.445 0.167
0.750 0.217 0.520
0.250 0.555 0.833
0.250 0.130 0.867
```

***

# 15
DFT (PBE) results for a geometry-optimized AcPm4Ge4 structure.

space-group type = P4_2/n
E_form = -0.562 eV per atom
electronic total energy = -93.27 eV for the cell shown
V = 31.2 A^3/atom

Geometry as POSCAR:
```
AcPm4Ge4
1.0
5.957 0.000 0.000
0.000 9.712 0.000
0.000 0.000 9.712
Ac Pm Ge
2 8 8
Direct
0.000 0.000 0.000
0.500 0.500 0.500
0.383 0.354 0.888
0.883 0.612 0.854
0.383 0.646 0.112
0.117 0.146 0.612
0.617 0.888 0.646
0.117 0.854 0.388
0.883 0.388 0.146
0.617 0.112 0.354
0.609 0.803 0.340
0.609 0.197 0.660
0.109 0.840 0.697
0.891 0.303 0.840
0.891 0.697 0.160
0.391 0.340 0.197
0.391 0.660 0.803
0.109 0.160 0.303
```

***

# 16
DFT (PBE) results for a geometry-optimized DyYI4 structure.

space-group type = C2/m
formation energy (no corrections) = -1215 meV per atom
electronic total energy = -24.56 eV for the cell shown
V = 39.9 A^3/atom

Geometry as POSCAR:
```
DyYI4
1.0
-1.323 1.295 3.702
-7.467 -3.551 -3.740
4.171 -4.873 3.195
Dy Y I
1 1 4
Direct
0.500 0.000 0.500
0.000 0.000 0.000
0.379 0.757 0.046
0.121 0.242 0.456
0.621 0.243 0.954
0.879 0.758 0.544
```

***

# 17
DFT (PBE) results for a geometry-optimized La2Nd6DyHo3 structure.

space-group type = C2/m
E_form = 0.019 eV per atom
electronic total energy = -56.57 eV for the cell shown
V = 34.2 A^3/atom

Geometry as POSCAR:
```
La2Nd6DyHo3
1.0
6.323 -0.002 0.001
-3.162 5.475 0.001
-1.058 -1.833 11.850
La Nd Dy Ho
2 6 1 3
Direct
0.333 0.667 0.000
0.667 0.333 0.000
0.915 0.583 0.745
0.753 0.753 0.255
0.085 0.417 0.255
0.583 0.915 0.745
0.247 0.247 0.745
0.417 0.085 0.255
0.000 0.000 0.000
0.166 0.834 0.500
0.834 0.166 0.500
0.500 0.500 0.500
```

***

# 18
DFT (PBE) results for a geometry-optimized HfBiP2S structure.

space-group type = P4/mmm
formation energy (no corrections) = 1087 meV per atom
electronic total energy = -23.35 eV for the cell shown
energy above the most stable polymorph in this dataset = 1.0756 eV per atom
V = 25.8 A^3/atom

Geometry as POSCAR:
```
HfBiP2S
1.0
-2.903 -4.033 0.998
1.835 -2.338 -4.106
3.695 -1.973 2.775
P S Hf Bi
2 1 1 1
Direct
0.000 0.500 0.000
0.500 0.000 0.000
0.000 0.000 0.500
0.500 0.500 0.500
0.000 0.000 0.000
```

***

# 19
DFT (PBE) results for a geometry-optimized Mg2Zn3 structure.

space-group type = Fdd2
E_form = -0.061 eV per atom
electronic total energy = -14.63 eV for the cell shown
energy above the most stable polymorph in this dataset = 0.0097 eV per atom
V = 18.4 A^3/atom

Geometry as POSCAR:
```
Mg2Zn3
1.0
0.000 4.342 8.147
2.596 0.000 8.147
2.596 4.342 0.000
Mg Zn
4 6
Direct
0.524 0.392 0.817
0.267 0.817 0.392
0.858 0.726 0.983
0.433 0.983 0.726
0.440 0.309 0.412
0.840 0.412 0.309
0.941 0.810 0.410
0.838 0.410 0.810
0.929 0.071 0.071
0.179 0.321 0.321
```

***

# 20
DFT (PBE) results for a geometry-optimized Ca2Mg3Cu2 structure.

space-group type = C2/m
E_form = 0.032 eV per atom
electronic total energy = -33.52 eV for the cell shown
energy above the most stable polymorph in this dataset = 0.1685 eV per atom
V = 24.1 A^3/atom

Geometry as POSCAR:
```
Ca2Mg3Cu2
1.0
8.626 -0.083 0.003
7.931 3.394 0.003
8.321 1.664 11.289
Ca Mg Cu
4 6 4
Direct
0.926 0.926 0.261
0.074 0.074 0.739
0.581 0.581 0.341
0.419 0.419 0.659
0.880 0.880 0.064
0.120 0.120 0.936
0.787 0.787 0.895
0.213 0.213 0.105
0.686 0.686 0.470
0.314 0.314 0.530
0.740 0.740 0.732
0.260 0.260 0.268
0.598 0.598 0.101
0.402 0.402 0.899
```